DFT (GGA-PBE) results for an optimized crystal structure of Be2V4Ru.

Calculated values
Space group: No. 139
ΔH_f (0 K) (eV per atom): 1.064
Total magnetization (μB/f.u.): 2.90

a = 4.563 Å, b = 4.563 Å, c = 11.424 Å
α = 90.00°, β = 90.00°, γ = 90.00°
Positions (direct):
Be  0.000  0.000  0.090
Be  0.000  0.000  0.910
Be  0.500  0.500  0.410
Be  0.500  0.500  0.590
V  0.000  0.000  0.293
V  0.000  0.000  0.707
V  0.000  0.500  0.000
V  0.000  0.500  0.500
V  0.500  0.000  0.000
V  0.500  0.000  0.500
V  0.500  0.500  0.207
V  0.500  0.500  0.793
Ru  0.000  0.000  0.500
Ru  0.500  0.500  0.000